# 1
First-principles (SCAN) data for a PBEsol-optimized structure of PrCuS2, as listed in Alexandria.

The structure in POSCAR format:
```
PrCuS2
1.0
-3.9688 3.8057 3.3026
2.9105 -3.0768 5.3231
5.0353 5.0881 0.1879
Pr Cu S
4 4 8
Direct
0.1896 0.8008 0.0512
0.8104 0.6992 0.5512
0.8104 0.1992 0.9488
0.1896 0.3008 0.4488
0.5687 0.0496 0.3349
0.4313 0.9504 0.6651
0.4313 0.4504 0.8349
0.5687 0.5496 0.1651
0.9093 0.0003 0.2755
0.0907 0.4997 0.7755
0.0907 0.9997 0.7245
0.9093 0.5003 0.2245
0.5936 0.7758 0.8888
0.5936 0.2758 0.6112
0.4064 0.2242 0.1112
0.4064 0.7242 0.3888
```

## Properties
**Total magnetic moment**: 0.00 μB/atom
**Energy relative to the elements, uncorrected**: -1.589 eV/atom
**E**: -21.035 eV per atom
**Mass density**: 5.8 g cm⁻³
**Crystal system**: monoclinic



# 2
First-principles (SCAN) data for a PBEsol-optimized structure of Pr3Cu3Sb4, as listed in Alexandria.

The structure in POSCAR format:
```
Pr3Cu3Sb4
1.0
-1.0294 -6.2642 -5.4529
0.1706 -3.0750 7.7814
-6.3500 5.4023 -0.7260
Pr Cu Sb
6 6 8
Direct
0.1250 0.2500 0.3750
0.3750 0.7500 0.1250
0.7500 0.6250 0.8750
0.2500 0.8750 0.6250
0.8750 0.1250 0.7500
0.6250 0.3750 0.2500
0.6250 0.2500 0.8750
0.8750 0.7500 0.6250
0.7500 0.1250 0.3750
0.2500 0.3750 0.1250
0.3750 0.6250 0.7500
0.1250 0.8750 0.2500
0.3387 0.3387 0.8387
0.5000 0.1613 0.5000
0.0000 0.5000 0.6613
0.1613 0.0000 0.0000
0.5000 0.6613 0.5000
0.8387 0.8387 0.3387
0.0000 0.5000 0.1613
0.6613 0.0000 0.0000
```

## Properties
**Total magnetic moment**: 0.00 μB/atom
**Energy relative to the elements, uncorrected**: -0.874 eV/atom
**E**: -33.336 eV per atom
**Mass density**: 8.1 g cm⁻³
**Crystal system**: cubic



# 3
First-principles (SCAN) data for a PBEsol-optimized structure of PrCuSb2, as listed in Alexandria.

The structure in POSCAR format:
```
PrCuSb2
1.0
-2.7870 -0.9866 -3.1426
-3.0839 -0.6647 2.9436
-2.6974 9.6679 -0.6429
Pr Cu Sb
2 2 4
Direct
0.0000 0.5000 0.7487
0.5000 0.0000 0.2513
0.5000 0.5000 0.5000
0.0000 0.0000 0.5000
0.5000 0.5000 0.0000
0.0000 0.0000 0.0000
0.0000 0.5000 0.3491
0.5000 0.0000 0.6509
```

## Properties
**Total magnetic moment**: 0.00 μB/atom
**Energy relative to the elements, uncorrected**: -0.764 eV/atom
**E**: -34.025 eV per atom
**Mass density**: 7.9 g cm⁻³
**Crystal system**: tetragonal



# 4
First-principles (SCAN) data for a PBEsol-optimized structure of Pr5CuSe8, as listed in Alexandria.

The structure in POSCAR format:
```
Pr5CuSe8
1.0
7.6173 -0.0043 0.0074
-2.6528 7.1405 -0.0074
2.6528 3.4495 6.2520
Pr Cu Se
5 1 8
Direct
0.1249 0.5047 0.1168
0.6216 0.1168 0.7582
0.8751 0.7582 0.6202
0.5000 0.2500 0.2500
0.3784 0.6202 0.5047
0.0000 0.0000 0.0000
0.0993 0.2337 0.5075
0.6286 0.7350 0.0265
0.3714 0.3449 0.8936
0.2588 0.8656 0.2337
0.9007 0.3932 0.8656
0.7615 0.0265 0.3449
0.2385 0.8936 0.7350
0.7412 0.5075 0.3932
```

## Properties
**Total magnetic moment**: 0.00 μB/atom
**Energy relative to the elements, uncorrected**: -1.861 eV/atom
**E**: -29.894 eV per atom
**Mass density**: 6.8 g cm⁻³
**Crystal system**: tetragonal



# 5
First-principles (SCAN) data for a PBEsol-optimized structure of Pr3CuSnSe7, as listed in Alexandria.

The structure in POSCAR format:
```
Pr3CuSnSe7
1.0
-1.4040 3.7987 -4.6620
1.3209 -7.9311 -6.8602
-9.5003 1.7513 4.2880
Pr Cu Sn Se
6 2 2 14
Direct
0.5313 0.1346 0.3550
0.0313 0.3550 0.2204
0.0313 0.7796 0.1346
0.5313 0.2204 0.8654
0.5313 0.6450 0.7796
0.0313 0.8654 0.6450
0.0048 0.0000 0.0000
0.5048 0.0000 0.0000
0.6100 0.6667 0.3333
0.1100 0.3333 0.6667
0.2830 0.4286 0.5114
0.7830 0.5114 0.0827
0.7830 0.9173 0.4286
0.2830 0.0827 0.5714
0.7066 0.3333 0.6667
0.2066 0.6667 0.3333
0.2830 0.4886 0.9173
0.7830 0.5714 0.4886
0.5130 0.9014 0.7436
0.0130 0.7436 0.8421
0.0130 0.1579 0.9014
0.5130 0.8421 0.0986
0.5130 0.2564 0.1579
0.0130 0.0986 0.2564
```

## Properties
**Total magnetic moment**: 0.00 μB/atom
**Energy relative to the elements, uncorrected**: -1.497 eV/atom
**E**: -28.301 eV per atom
**Mass density**: 6.4 g cm⁻³
**Crystal system**: hexagonal



# 6
First-principles (SCAN) data for a PBEsol-optimized structure of SrPrCuSe3, as listed in Alexandria.

The structure in POSCAR format:
```
SrPrCuSe3
1.0
4.1132 0.0000 0.0000
0.0000 10.9420 0.0000
0.0000 0.0000 13.3461
Sr Pr Cu Se
4 4 4 12
Direct
0.2500 0.2853 0.9987
0.7500 0.7147 0.0013
0.2500 0.7853 0.5013
0.7500 0.2147 0.4987
0.2500 0.0190 0.2360
0.7500 0.9810 0.7640
0.2500 0.5190 0.2640
0.7500 0.4810 0.7360
0.7500 0.2665 0.2221
0.2500 0.7335 0.7779
0.7500 0.7665 0.2779
0.2500 0.2335 0.7221
0.2500 0.3967 0.5977
0.7500 0.6033 0.4023
0.2500 0.8967 0.9023
0.7500 0.1033 0.0977
0.7500 0.4484 0.1148
0.2500 0.5516 0.8852
0.7500 0.9484 0.3852
0.2500 0.0516 0.6148
0.2500 0.2622 0.3285
0.7500 0.7378 0.6715
0.2500 0.7622 0.1715
0.7500 0.2378 0.8285
```

## Properties
**Total magnetic moment**: 0.00 μB/atom
**Energy relative to the elements, uncorrected**: -1.736 eV/atom
**E**: -25.242 eV per atom
**Mass density**: 5.8 g cm⁻³
**Crystal system**: orthorhombic